# BaFe2Cl

A relaxed BaFe2Cl crystal (GGA-PBEsol, Alexandria).

## Properties
Space-group type: P4/mmm
Relative energy among the computed polymorphs (eV/f.u.): 2.67
Formation energy from raw total energies (meV per atom): 687
Calculated density (g cm⁻³): 5.43
Magnetic moment (μB per atom): 1.613

Unit cell a=3.610 b=3.610 c=6.675 alpha=90.00 beta=90.00 gamma=90.00
Sites, in units of the cell vectors:
Ba (0.000, 0.000, 0.000)
Fe (0.500, 0.500, 0.335)
Fe (0.500, 0.500, 0.665)
Cl (0.000, 0.000, 0.500)